First-principles (PBE-GGA) data for Y2MgGe4Ir3 after structural relaxation, as listed in the Alexandria database.

Computed properties:
Energy relative to the elements (eV/f.u.): -6.771

Geometry as CIF:
```
data_Y2MgGe4Ir3
_symmetry_space_group_name_H-M 'P 1'
_symmetry_Int_Tables_number 1
_cell_length_a 4.2173
_cell_length_b 4.2173
_cell_length_c 10.5369
_cell_angle_alpha 90.00
_cell_angle_beta 90.00
_cell_angle_gamma 90.00
loop_
_symmetry_equiv_pos_as_xyz
'x,y,z'
loop_
_atom_site_label
_atom_site_fract_x
_atom_site_fract_y
_atom_site_fract_z
_atom_site_occupancy
Ge1 0.5000 0.0000 0.6457 1
Ge2 0.0000 0.0000 0.0000 1
Y1 0.0000 0.5000 0.7624 1
Ge3 0.5000 0.5000 0.0000 1
Ir1 0.5000 0.0000 0.8759 1
Ge4 0.0000 0.5000 0.3543 1
Ir2 0.0000 0.5000 0.1241 1
Ir3 0.0000 0.0000 0.5000 1
Mg1 0.5000 0.5000 0.5000 1
Y2 0.5000 0.0000 0.2376 1
```

First-principles (PBE-GGA) data for FeReSi2 after structural relaxation, as listed in the Alexandria database.

Computed properties:
Energy relative to the elements, uncorrected (meV/atom): 37.3

Geometry as CIF:
```
data_FeReSi2
_symmetry_space_group_name_H-M 'P 1'
_symmetry_Int_Tables_number 1
_cell_length_a 7.8552
_cell_length_b 7.8552
_cell_length_c 7.8552
_cell_angle_alpha 20.69
_cell_angle_beta 20.69
_cell_angle_gamma 20.69
loop_
_symmetry_equiv_pos_as_xyz
'x,y,z'
loop_
_atom_site_label
_atom_site_fract_x
_atom_site_fract_y
_atom_site_fract_z
_atom_site_occupancy
Si1 0.2468 0.2468 0.2468 1
Si2 0.9988 0.9988 0.9988 1
Fe1 0.5048 0.5048 0.5048 1
Re1 0.7497 0.7497 0.7497 1
```

Repeat the first record exactly.
First-principles (PBE-GGA) data for Y2MgGe4Ir3 after structural relaxation, as listed in the Alexandria database.

Computed properties:
Energy relative to the elements (eV/f.u.): -6.771

Geometry as CIF:
```
data_Y2MgGe4Ir3
_symmetry_space_group_name_H-M 'P 1'
_symmetry_Int_Tables_number 1
_cell_length_a 4.2173
_cell_length_b 4.2173
_cell_length_c 10.5369
_cell_angle_alpha 90.00
_cell_angle_beta 90.00
_cell_angle_gamma 90.00
loop_
_symmetry_equiv_pos_as_xyz
'x,y,z'
loop_
_atom_site_label
_atom_site_fract_x
_atom_site_fract_y
_atom_site_fract_z
_atom_site_occupancy
Ge1 0.5000 0.0000 0.6457 1
Ge2 0.0000 0.0000 0.0000 1
Y1 0.0000 0.5000 0.7624 1
Ge3 0.5000 0.5000 0.0000 1
Ir1 0.5000 0.0000 0.8759 1
Ge4 0.0000 0.5000 0.3543 1
Ir2 0.0000 0.5000 0.1241 1
Ir3 0.0000 0.0000 0.5000 1
Mg1 0.5000 0.5000 0.5000 1
Y2 0.5000 0.0000 0.2376 1
```